Computed, not measured: a geometry-optimized Y3Tl2Se6 structure at the PBE-GGA level of DFT.

Output
Formation energy (no corrections) ... -1401 meV/atom
Calculated total energy ... -60.45 eV per cell

a b c (Å): 7.2155 7.2155 7.9188
angles (deg): 98.71 98.71 119.97
Sites, in units of the cell vectors:
Y 0.0000 0.0000 0.0000
Y 0.3333 0.6667 0.0000
Y 0.6667 0.3333 0.0000
Tl 0.1671 0.8329 0.5000
Tl 0.8329 0.1671 0.5000
Se 0.0670 0.4031 0.2098
Se 0.2615 0.2615 0.7918
Se 0.4031 0.0670 0.2098
Se 0.5969 0.9330 0.7902
Se 0.7385 0.7385 0.2082
Se 0.9330 0.5969 0.7902